This record from Alexandria via LeMat-Bulk describes a relaxed structure of Cs2KFeO4. The functional is GGA+U.

Unit cell a=6.457 b=6.719 c=12.566 alpha=82.91 beta=75.11 gamma=61.29
Fractional positions:
Cs (0.560, 0.500, 0.880)
Fe (0.250, 0.500, 0.500)
Fe (0.500, 0.000, 0.000)
O (0.378, 0.826, 0.073)
O (0.202, 0.326, 0.427)
O (0.472, 0.326, 0.573)
O (0.955, 0.674, 0.573)
Cs (0.810, 0.000, 0.380)
Cs (0.940, 0.500, 0.120)
O (0.278, 0.174, 0.927)
O (0.548, 0.174, 0.073)
Cs (0.190, 0.000, 0.620)
K (0.750, 0.500, 0.500)
O (0.795, 0.826, 0.927)
K (0.000, 0.000, 0.000)
O (0.372, 0.674, 0.427)

## Properties
raw total energy: -4.60 eV per atom